(1)
NaHfAgI6: relaxed, PBE-GGA.

Structure (extended XYZ):
```
18
Lattice="-3.574 -6.560 -1.452 1.879 1.808 7.149 -12.483 6.435 1.653" Properties=species:S:1:pos:R:3 pbc="T T T"
Na 0.000 0.000 0.000
Na -6.241 3.218 0.827
Hf -4.877 -2.162 1.828
Hf -9.301 3.845 5.522
Ag -3.059 0.628 4.696
Ag -11.118 1.056 2.655
I -2.800 -2.287 3.793
I -4.503 -4.945 1.277
I -7.295 3.565 7.545
I -9.674 6.629 6.073
I -5.248 0.582 2.555
I -6.899 -2.917 3.707
I -11.249 3.204 7.519
I -6.883 -1.882 -0.194
I -7.278 4.601 3.643
I -2.929 -1.520 -0.168
I -8.929 1.102 4.796
I -11.378 3.971 3.557
```

## Properties
- uncorrected formation energy (eV/atom) = -0.79



(2)
Dy8YCd2: relaxed, PBE-GGA.

Structure (extended XYZ):
```
11
Lattice="-3.297 -1.501 3.691 1.179 -8.687 -0.647 5.857 -2.121 6.202" Properties=species:S:1:pos:R:3 pbc="T T T"
Dy 1.321 -4.012 6.768
Dy 4.608 -5.223 5.684
Dy -1.228 -3.897 4.575
Dy 4.967 -8.411 4.670
Dy -0.869 -7.086 3.562
Dy 2.418 -8.297 2.477
Dy 1.990 -4.959 3.395
Dy 1.749 -7.349 5.851
Y 0.000 0.000 0.000
Cd -0.608 -2.017 2.348
Cd 4.346 -10.292 6.897
```

## Properties
- energy relative to the elements (eV/atom) = 0.3142



(3)
K2CuTe: relaxed, PBE-GGA.

Structure (extended XYZ):
```
4
Lattice="-4.403 1.387 -0.053 -0.535 -1.582 3.022 1.644 5.493 7.087" Properties=species:S:1:pos:R:3 pbc="T T T"
Cu -1.369 3.626 7.555
K -0.514 -1.514 3.053
K 0.533 1.886 5.023
Te -1.924 1.671 2.501
```

## Properties
- uncorrected formation energy (eV/atom) = -0.16



(4)
KSc4Tl5: relaxed, PBE-GGA.

Structure (extended XYZ):
```
10
Lattice="-2.318 2.623 1.060 0.671 -0.822 3.500 14.450 12.685 0.209" Properties=species:S:1:pos:R:3 pbc="T T T"
K 0.000 0.000 0.000
Sc 3.200 2.810 0.046
Sc 5.878 5.161 0.085
Sc 8.571 7.525 0.124
Sc 11.249 9.876 0.163
Tl 1.121 2.607 2.308
Tl 3.732 4.899 2.346
Tl 6.401 7.243 2.385
Tl 9.071 9.586 2.423
Tl 11.682 11.879 2.461
```

## Properties
- energy relative to the elements (eV/atom) = -0.2113